The following is a GGA-PBE calculation of a geometry-optimized Tb2TmCdC structure, from Alexandria.

extended XYZ file:
```
5
Lattice="-0.6709 4.6919 0.7051 -3.7176 -0.0315 -3.3284 -3.2544 -1.0130 3.6446" Properties=species:S:1:pos:R:3 pbc="T T T"
Tb -1.6272 -0.5065 1.8223
Tb -1.8588 -0.0157 -1.6642
Tm -0.3355 2.3460 0.3525
Cd -3.8215 1.8237 0.5106
C 0.0000 0.0000 0.0000
```

Properties
**Formation energy**: -307 meV/atom
**Total moment**: 0.0 μB per cell
**Space group**: P4/mmm

The following is a GGA-PBE calculation of a geometry-optimized TbTm2CdC structure, from Alexandria.

extended XYZ file:
```
5
Lattice="-4.1128 2.2723 -1.7389 -2.6349 -3.8661 1.1800 -0.8066 1.8832 4.3686" Properties=species:S:1:pos:R:3 pbc="T T T"
Tb -2.0564 1.1361 -0.8695
Tm -0.4033 0.9416 2.1843
Tm -1.3174 -1.9330 0.5900
Cd -3.7771 0.1447 1.9048
C 0.0000 0.0000 0.0000
```

Properties
**Formation energy**: -330 meV/atom
**Total moment**: 0.0 μB per cell
**Space group**: P4/mmm

The following is a GGA-PBE calculation of a geometry-optimized CdTcC3 structure, from Alexandria.

extended XYZ file:
```
5
Lattice="4.0682 0.0000 0.0000 0.0000 4.0682 0.0000 0.0000 0.0000 4.0682" Properties=species:S:1:pos:R:3 pbc="T T T"
C 0.0000 2.0341 0.0000
C 0.0000 0.0000 2.0341
C 2.0341 0.0000 0.0000
Tc 0.0000 0.0000 0.0000
Cd 2.0341 2.0341 2.0341
```

Properties
**Formation energy**: 1830 meV/atom
**Total moment**: 0.0 μB per cell
**Space group**: Pm-3m

The following is a GGA-PBE calculation of a geometry-optimized CdTc3C structure, from Alexandria.

extended XYZ file:
```
5
Lattice="-3.7181 -1.8478 2.4412 -1.5594 -2.1620 -4.0115 2.6348 -3.8871 1.0707" Properties=species:S:1:pos:R:3 pbc="T T T"
C -1.3214 -3.9484 -0.2498
Tc -0.7797 -1.0810 -2.0057
Tc 1.3174 -1.9436 0.5354
Tc -1.8591 -0.9239 1.2206
Cd 0.0000 0.0000 0.0000
```

Properties
**Formation energy**: 3960 meV/atom
**Total moment**: 0.0 μB per cell
**Space group**: Pm-3m

The following is a GGA-PBE calculation of a geometry-optimized CdTc3C structure, from Alexandria.

extended XYZ file:
```
5
Lattice="-0.4337 0.7160 4.0481 -4.1083 0.0693 -0.4524 -0.1462 -4.0707 0.7043" Properties=species:S:1:pos:R:3 pbc="T T T"
C 0.0000 0.0000 0.0000
Tc -2.0542 0.0346 -0.2262
Tc -0.0731 -2.0353 0.3522
Tc -0.2169 0.3580 2.0241
Cd -2.3441 -1.6427 2.1500
```

Properties
**Formation energy**: 298 meV/atom
**Total moment**: 0.0 μB per cell
**Space group**: Pm-3m

The following is a GGA-PBE calculation of a geometry-optimized CdTcC3 structure, from Alexandria.

extended XYZ file:
```
5
Lattice="4.0981 0.0000 0.0000 0.0000 4.0981 0.0000 0.0000 0.0000 4.0981" Properties=species:S:1:pos:R:3 pbc="T T T"
C 0.0000 2.0491 0.0000
C 0.0000 0.0000 2.0491
C 2.0491 0.0000 0.0000
Tc 2.0491 2.0491 2.0491
Cd 0.0000 0.0000 0.0000
```

Properties
**Formation energy**: 3653 meV/atom
**Total moment**: 0.0 μB per cell
**Space group**: Pm-3m

The following is a GGA-PBE calculation of a geometry-optimized Cd3TcC structure, from Alexandria.

extended XYZ file:
```
5
Lattice="-2.4035 1.4854 -4.3664 -4.3665 0.8525 2.6936 1.4850 4.9107 0.8531" Properties=species:S:1:pos:R:3 pbc="T T T"
C -2.6425 3.6243 -0.4098
Tc 0.0000 0.0000 0.0000
Cd -2.1832 0.4262 1.3468
Cd 0.7425 2.4554 0.4266
Cd -1.2017 0.7427 -2.1832
```

Properties
**Formation energy**: 2275 meV/atom
**Total moment**: 0.0 μB per cell
**Space group**: Pm-3m

The following is a GGA-PBE calculation of a geometry-optimized Cd3TcC structure, from Alexandria.

extended XYZ file:
```
5
Lattice="-3.6600 0.6046 2.6307 -2.4301 -2.6675 -2.7679 1.1751 -3.6333 2.4698" Properties=species:S:1:pos:R:3 pbc="T T T"
C 0.0000 0.0000 0.0000
Tc -2.4575 -2.8481 1.1663
Cd -1.2151 -1.3337 -1.3839
Cd 0.5876 -1.8167 1.2349
Cd -1.8300 0.3023 1.3154
```

Properties
**Formation energy**: 1295 meV/atom
**Total moment**: 3.1 μB per cell
**Space group**: Pm-3m

The following is a GGA-PBE calculation of a geometry-optimized Y2CdTcC structure, from Alexandria.

extended XYZ file:
```
5
Lattice="-2.7745 -3.3571 -2.4816 3.1994 0.2044 -3.8534 2.1457 -2.9736 1.6237" Properties=species:S:1:pos:R:3 pbc="T T T"
Y 1.5997 0.1022 -1.9267
Y -1.3873 -1.6786 -1.2408
C 0.0000 0.0000 0.0000
Tc 1.0728 -1.4868 0.8119
Cd 1.2853 -3.0632 -2.3557
```

Properties
**Formation energy**: -323 meV/atom
**Total moment**: 0.0 μB per cell
**Space group**: P4/mmm

The following is a GGA-PBE calculation of a geometry-optimized CdTe3C structure, from Alexandria.

extended XYZ file:
```
5
Lattice="-0.4777 -3.4657 -3.3847 4.7940 -0.8268 0.1700 -0.6960 -3.3167 3.4943" Properties=species:S:1:pos:R:3 pbc="T T T"
C 0.0000 0.0000 0.0000
Te 2.3970 -0.4134 0.0850
Te -0.3480 -1.6584 1.7472
Te -0.2388 -1.7329 -1.6923
Cd 1.8102 -3.8046 0.1399
```

Properties
**Total energy**: -3.0291 eV per atom
**Total moment**: 0.0 μB per cell
**Space group**: Pm-3m

The following is a GGA-PBE calculation of a geometry-optimized CdTeC3 structure, from Alexandria.

extended XYZ file:
```
5
Lattice="4.2451 0.0000 0.0000 0.0000 4.2451 0.0000 0.0000 0.0000 4.2451" Properties=species:S:1:pos:R:3 pbc="T T T"
C 0.0000 2.1225 0.0000
C 0.0000 0.0000 2.1225
C 2.1225 0.0000 0.0000
Te 0.0000 0.0000 0.0000
Cd 2.1225 2.1225 2.1225
```

Properties
**Total energy**: -3.5260 eV per atom
**Total moment**: 0.9 μB per cell
**Space group**: Pm-3m

The following is a GGA-PBE calculation of a geometry-optimized CdTeC3 structure, from Alexandria.

extended XYZ file:
```
5
Lattice="-1.8343 -3.9444 -0.0412 3.7654 -1.7374 -1.3146 1.1755 -0.5900 4.1467" Properties=species:S:1:pos:R:3 pbc="T T T"
C 1.8827 -0.8687 -0.6573
C 0.5877 -0.2950 2.0734
C -0.9172 -1.9722 -0.0206
Te 1.5533 -3.1359 1.3955
Cd 0.0000 0.0000 0.0000
```

Properties
**Total energy**: -3.1334 eV per atom
**Total moment**: 2.1 μB per cell
**Space group**: Pm-3m